## TmGaCo (PBE)

Data for a relaxed structure of TmGaCo.

abc: 4.1981 4.1981 3.5385
angles: 90.00 90.00 120.00
Space group P-6m2 (No. 187)
Asymmetric unit:
Tm 0.0000 0.0000 0.0000 x1
Ga 0.3333 0.6667 0.5000 x1
Co 0.6667 0.3333 0.5000 x1

Properties
theoretical density	9.2	g cm⁻³
DFT total energy	-5.30	eV per atom
density of states at the Fermi level	2.19	states/eV/f.u.
size of the total moment	0.63	μB per formula unit
formation energy	-0.429	eV/atom